[1]
The following is a meta-GGA SCAN calculation of a PBEsol-optimized structure of Er2Mg2Ru, from Alexandria via LeMat-Bulk.

Summary:
- total magnetization (μB/atom) = 0.00
- volume (Å³/cell) = 113.2
- formation energy from the elements (meV/atom) = -349

Cell: 3.3329 3.3329 10.4624 Å, 99.17 99.17 90.00°
Last column: nearest neighbours and their distance in Å.
Fractional coordinates of all 5 atoms:
1 Mg 0.2008 0.2008 0.4015  8 Mg 3.10-3.33, 4 Er 3.42
2 Mg 0.7992 0.7992 0.5985  8 Mg 3.10-3.33, 4 Er 3.42
3 Er 0.5791 0.5791 0.1582  4 Ru 2.86
4 Er 0.4209 0.4209 0.8418  4 Ru 2.86
5 Ru 0.0000 0.0000 0.0000  8 Er 2.86

[2]
The following is a meta-GGA SCAN calculation of a PBEsol-optimized structure of Y2ScCo2, from Alexandria via LeMat-Bulk.

Summary:
- total magnetization (μB/atom) = 0.00
- volume (Å³/cell) = 194.1
- formation energy from the elements (meV/atom) = -79

Cell: 4.1061 6.8751 6.8751 Å, 90.00 90.00 90.00°
Last column: nearest neighbours and their distance in Å.
Fractional coordinates of all 10 atoms:
1 Y 0.5000 0.3224 0.1776  6 Co 2.88-2.90
2 Y 0.5000 0.1776 0.6776  6 Co 2.88-2.90
3 Y 0.5000 0.8224 0.3224  6 Co 2.88-2.90
4 Y 0.5000 0.6776 0.8224  6 Co 2.88-2.90
5 Co 0.0000 0.8860 0.6140  1 Co 2.22
6 Co 0.0000 0.6140 0.1140  1 Co 2.22
7 Co 0.0000 0.3860 0.8860  1 Co 2.22
8 Co 0.0000 0.1140 0.3860  1 Co 2.22
9 Sc 0.0000 0.0000 0.0000  4 Co 2.77
10 Sc 0.0000 0.5000 0.5000  4 Co 2.77